DFT (GGA-PBE) results for an optimized crystal structure of AcZn2Pt.

Its crystal system is orthorhombic. The calculated density is 10.58 g/cm³. The calculation puts the formation energy at -0.65 eV per atom.

The structure belongs to space group Pnma (No. 62); the cell edges are 16.310, 7.370 and 5.774 Å and the angles 90.00°, 90.00° and 90.00°. The distinct sites, in fractional coordinates, are Ac at (0.103, 0.250, 0.231), Ac at (0.141, 0.750, 0.467), Zn at (0.040, 0.063, 0.751), Zn at (0.211, 0.560, 0.944), Pt at (0.070, 0.750, 0.989) and Pt at (0.185, 0.250, 0.713).

=====

DFT (GGA-PBE) results for an optimized crystal structure of In12Ge3Se5.

Its crystal system is cubic. The calculated density is 5.27 g/cm³. The calculation puts the uncorrected formation energy at -1.10 eV/f.u.

The structure belongs to space group Ia-3d (No. 230); the cell edges are 17.120, 17.120 and 17.120 Å and the angles 90.00°, 90.00° and 90.00°. The distinct sites, in fractional coordinates, are In at (0.013, 0.074, 0.656), Ge at (0.000, 0.250, 0.125), Se at (0.000, 0.000, 0.000) and Se at (0.000, 0.250, 0.375).

=====

DFT (GGA-PBE) results for an optimized crystal structure of La6Cd3Au.

Its crystal system is monoclinic. The calculated density is 7.43 g/cm³. The calculation puts the formation energy at -0.33 eV per atom.

The structure belongs to space group P2_1/m (No. 11); the cell edges are 9.518, 5.545 and 12.289 Å and the angles 90.00°, 109.41° and 90.00°. The distinct sites, in fractional coordinates, are La at (0.035, 0.250, 0.415), La at (0.165, 0.750, 0.169), La at (0.257, 0.250, 0.001), La at (0.357, 0.750, 0.817), La at (0.369, 0.250, 0.356), La at (0.414, 0.250, 0.635), Cd at (0.028, 0.750, 0.870), Cd at (0.104, 0.250, 0.716), Cd at (0.264, 0.750, 0.474) and Au at (0.451, 0.750, 0.093).

=====

DFT (GGA-PBE) results for an optimized crystal structure of Dy3Lu5O12.

Its crystal system is cubic. The calculated density is 8.95 g/cm³. The calculation puts the uncorrected formation energy at -69.07 eV/f.u.

The structure belongs to space group Ia-3d (No. 230); the cell edges are 13.212, 13.212 and 13.212 Å and the angles 90.00°, 90.00° and 90.00°. The distinct sites, in fractional coordinates, are Dy at (0.000, 0.250, 0.125), Lu at (0.000, 0.000, 0.000), Lu at (0.000, 0.250, 0.375) and O at (0.022, 0.065, 0.653).

=====

DFT (GGA-PBE) results for an optimized crystal structure of Ca3SnO.

Its crystal system is cubic. The calculated density is 3.71 g/cm³. The calculation puts the uncorrected formation energy at -8.13 eV/f.u.

The structure belongs to space group Pm-3m (No. 221); the cell edges are 4.849, 4.849 and 4.849 Å and the angles 90.00°, 90.00° and 90.00°. The distinct sites, in fractional coordinates, are Ca at (0.000, 0.000, 0.500), Sn at (0.500, 0.500, 0.500) and O at (0.000, 0.000, 0.000).

=====

DFT (GGA-PBE) results for an optimized crystal structure of Sr2CrW.

Its crystal system is tetragonal. The calculated density is 5.91 g/cm³. The calculation puts the formation energy at 1.40 eV per atom.

The structure belongs to space group P4/mmm (No. 123); the cell edges are 5.450, 5.450 and 3.887 Å and the angles 90.00°, 90.00° and 90.00°. The distinct sites, in fractional coordinates, are Sr at (0.000, 0.500, 0.000), Cr at (0.000, 0.000, 0.500) and W at (0.500, 0.500, 0.500).

=====

DFT (GGA-PBE) results for an optimized crystal structure of MgBe2Zn.

Its crystal system is trigonal. The calculated density is 3.30 g/cm³. The calculation puts the formation energy at 0.37 eV per atom.

The structure belongs to space group R3m (No. 160, hexagonal axes); the cell edges are 2.7624, 2.7624 and 24.5990 Å and the angles 90.00°, 90.00° and 120.00°. The distinct sites, in fractional coordinates, are Mg at (0.0000, 0.0000, 0.0000), Be at (0.0000, 0.0000, 0.4857), Be at (0.0000, 0.0000, 0.7555) and Zn at (0.0000, 0.0000, 0.2305).

=====

DFT (GGA-PBE) results for an optimized crystal structure of SrYSi.

Its crystal system is orthorhombic. The calculated density is 3.69 g/cm³. The calculation puts the uncorrected formation energy at -0.68 eV/f.u.

The structure belongs to space group Imm2 (No. 44); the cell edges are 3.536, 3.958 and 13.173 Å and the angles 90.00°, 90.00° and 90.00°. The distinct sites, in fractional coordinates, are Sr at (0.000, 0.000, 0.000), Y at (0.000, 0.000, 0.256) and Si at (0.000, 0.000, 0.658).

=====

- What is the formula in the fourth record?
  Dy3Lu5O12

=====

- Which formula does entry 2 have?
  In12Ge3Se5